No. 1
Compound: PmIn2Hg4
Source: the Alexandria database
Functional: GGA-PBE
Structure: optimized geometry

Cell: 5.016 5.016 7.400 Å, 90.00 90.00 90.00°
Atoms (fractional coordinates):
In (0.000, 0.000, 0.000)
In (0.500, 0.500, 0.500)
Hg (0.500, 0.000, 0.275)
Hg (0.000, 0.500, 0.725)
Hg (0.500, 0.000, 0.725)
Hg (0.000, 0.500, 0.275)
Pm (0.500, 0.500, 0.000)

- energy relative to the elements (eV per atom) = -0.2371
- space-group type = P4/mmm, No. 123
- energy (eV per atom) = -1.871



No. 2
Compound: LiHo5Hg4
Source: the Alexandria database
Functional: GGA-PBE
Structure: optimized geometry

Cell: 3.713 3.713 18.386 Å, 90.00 90.00 90.00°
Atoms (fractional coordinates):
Li (0.000, 0.000, 0.000)
Ho (0.500, 0.500, 0.100)
Ho (0.500, 0.500, 0.299)
Ho (0.500, 0.500, 0.500)
Ho (0.500, 0.500, 0.701)
Ho (0.500, 0.500, 0.900)
Hg (0.000, 0.000, 0.196)
Hg (0.000, 0.000, 0.399)
Hg (0.000, 0.000, 0.601)
Hg (0.000, 0.000, 0.804)

- energy relative to the elements (eV per atom) = -0.3615
- space-group type = P4/mmm, No. 123
- energy (eV per atom) = -2.963



No. 3
Compound: Ca2NdIn2
Source: the Alexandria database
Functional: GGA-PBE
Structure: optimized geometry

Cell: 5.378 6.868 16.505 Å, 90.00 90.00 90.00°
Atoms (fractional coordinates):
Ca (0.750, 0.310, 0.768)
Ca (0.250, 0.190, 0.268)
Ca (0.250, 0.690, 0.232)
Ca (0.750, 0.810, 0.732)
Ca (0.750, 0.971, 0.144)
Ca (0.250, 0.529, 0.644)
Ca (0.250, 0.029, 0.856)
Ca (0.750, 0.471, 0.356)
Nd (0.750, 0.148, 0.548)
Nd (0.250, 0.352, 0.048)
Nd (0.250, 0.852, 0.452)
Nd (0.750, 0.648, 0.952)
In (0.750, 0.634, 0.544)
In (0.250, 0.866, 0.044)
In (0.250, 0.366, 0.456)
In (0.750, 0.134, 0.956)
In (0.750, 0.950, 0.343)
In (0.250, 0.550, 0.843)
In (0.250, 0.050, 0.657)
In (0.750, 0.450, 0.157)

- energy relative to the elements (eV per atom) = -0.4041
- space-group type = Pnma, No. 62
- energy (eV per atom) = -3.254